Entry 1:
Density functional theory data (SCAN) for a PBEsol-optimized structure of MnP.

Geometry as CIF:
```
data_MnP
_chemical_formula_sum 'Mn4 P4'
_space_group_name_H-M_alt 'P 63/m m c'
_space_group_IT_number 194
_space_group_name_Hall '-P 6c 2c'
_cell_length_a 3.8615
_cell_length_b 3.8615
_cell_length_c 7.3147
_cell_angle_alpha 90.00
_cell_angle_beta 90.00
_cell_angle_gamma 120.00
loop_
_atom_site_label
_atom_site_type_symbol
_atom_site_fract_x
_atom_site_fract_y
_atom_site_fract_z
Mn1 Mn 0.0000 0.0000 0.2500
Mn2 Mn 0.3333 0.6667 0.2500
P1 P 0.3333 0.6667 0.5901
```

Results
uncorrected energy	-0.518	Ha/atom
DOS(E_F)	5.16	states/eV per cell

Entry 2:
Density functional theory data (SCAN) for a PBEsol-optimized structure of Mn5P3.

Geometry as CIF:
```
data_Mn5P3
_chemical_formula_sum 'Mn20 P12'
_space_group_name_H-M_alt 'I 4 c m'
_space_group_IT_number 108
_space_group_name_Hall 'I 4 -2c'
_cell_length_a 8.422
_cell_length_b 8.422
_cell_length_c 4.976
_cell_angle_alpha 90.00
_cell_angle_beta 90.00
_cell_angle_gamma 90.00
loop_
_atom_site_label
_atom_site_type_symbol
_atom_site_fract_x
_atom_site_fract_y
_atom_site_fract_z
Mn1 Mn 0.000 0.500 0.000
Mn2 Mn 0.072 0.214 0.172
P1 P 0.000 0.000 0.430
P2 P 0.162 0.338 0.763
```

Results
relative energy among the computed polymorphs	0	meV per atom
DOS(E_F)	21.52	states/eV per cell

Entry 3:
Density functional theory data (SCAN) for a PBEsol-optimized structure of MnP.

Geometry as CIF:
```
data_MnP
_chemical_formula_sum 'Mn4 P4'
_space_group_name_H-M_alt 'P 21 3'
_space_group_IT_number 198
_space_group_name_Hall 'P 2ac 2ab 3'
_cell_length_a 4.434
_cell_length_b 4.434
_cell_length_c 4.434
_cell_angle_alpha 90.00
_cell_angle_beta 90.00
_cell_angle_gamma 90.00
loop_
_atom_site_label
_atom_site_type_symbol
_atom_site_fract_x
_atom_site_fract_y
_atom_site_fract_z
Mn1 Mn 0.133 0.367 0.633
P1 P 0.081 0.919 0.419
```

Results
uncorrected energy	-0.544	Ha/atom

Entry 4:
Density functional theory data (SCAN) for a PBEsol-optimized structure of MnPPb2.

Geometry as CIF:
```
data_MnPPb2
_chemical_formula_sum 'Mn1 P1 Pb2'
_space_group_name_H-M_alt 'P 4/m m m'
_space_group_IT_number 123
_space_group_name_Hall '-P 4 2'
_cell_length_a 3.736
_cell_length_b 3.736
_cell_length_c 6.145
_cell_angle_alpha 90.00
_cell_angle_beta 90.00
_cell_angle_gamma 90.00
loop_
_atom_site_label
_atom_site_type_symbol
_atom_site_fract_x
_atom_site_fract_y
_atom_site_fract_z
Mn1 Mn 0.000 0.000 0.000
P1 P 0.000 0.000 0.500
Pb1 Pb 0.500 0.500 0.251
```

Results
uncorrected energy	-1.643	Ha/atom
DOS(E_F)	1.99	states/eV per cell

Entry 5:
Density functional theory data (SCAN) for a PBEsol-optimized structure of MnPPb2.

Geometry as CIF:
```
data_MnPPb2
_chemical_formula_sum 'Mn2 P2 Pb4'
_space_group_name_H-M_alt 'I m m m'
_space_group_IT_number 71
_space_group_name_Hall '-I 2 2'
_cell_length_a 3.313
_cell_length_b 3.374
_cell_length_c 15.600
_cell_angle_alpha 90.00
_cell_angle_beta 90.00
_cell_angle_gamma 90.00
loop_
_atom_site_label
_atom_site_type_symbol
_atom_site_fract_x
_atom_site_fract_y
_atom_site_fract_z
Mn1 Mn 0.000 0.000 0.000
P1 P 0.000 0.000 0.500
Pb1 Pb 0.000 0.500 0.336
```

Results
uncorrected energy	-1.658	Ha/atom
DOS(E_F)	3.71	states/eV per cell

Entry 6:
Density functional theory data (SCAN) for a PBEsol-optimized structure of MnPRuPb2.

Geometry as CIF:
```
data_MnPRuPb2
_chemical_formula_sum 'Mn1 P1 Ru1 Pb2'
_space_group_name_H-M_alt 'P 4/m m m'
_space_group_IT_number 123
_space_group_name_Hall '-P 4 2'
_cell_length_a 5.311
_cell_length_b 5.311
_cell_length_c 4.298
_cell_angle_alpha 90.00
_cell_angle_beta 90.00
_cell_angle_gamma 90.00
loop_
_atom_site_label
_atom_site_type_symbol
_atom_site_fract_x
_atom_site_fract_y
_atom_site_fract_z
Mn1 Mn 0.000 0.000 0.000
P1 P 0.500 0.500 0.500
Ru1 Ru 0.500 0.500 0.000
Pb1 Pb 0.000 0.500 0.500
```

Results
uncorrected energy	-1.556	Ha/atom
DOS(E_F)	2.53	states/eV per cell